1.
! La2DyRu, relaxed, DFT PBE; values from VASP
&SYSTEM
  ibrav = 0, nat = 16, ntyp = 3
/
ATOMIC_SPECIES
La 138.91 La.upf
Dy 162.50 Dy.upf
Ru 101.07 Ru.upf
CELL_PARAMETERS angstrom
4.057 0.000 0.000
0.000 12.216 0.000
0.000 0.000 9.511
ATOMIC_POSITIONS crystal
La 0.000 0.140 0.070
La 0.000 0.140 0.430
La 0.000 0.860 0.570
La 0.000 0.860 0.930
La 0.500 0.360 0.570
La 0.500 0.360 0.930
La 0.500 0.640 0.070
La 0.500 0.640 0.430
Dy 0.000 0.415 0.250
Dy 0.000 0.585 0.750
Dy 0.500 0.085 0.750
Dy 0.500 0.915 0.250
Ru 0.000 0.245 0.750
Ru 0.000 0.755 0.250
Ru 0.500 0.255 0.250
Ru 0.500 0.745 0.750
! E_tot = -98.276 eV/cell
! Formation energy = -209 meV/atom



2.
! TlV3H, relaxed, DFT PBE; values from VASP
&SYSTEM
  ibrav = 0, nat = 5, ntyp = 3
/
ATOMIC_SPECIES
Tl 204.38 Tl.upf
V 50.94 V.upf
H 1.01 H.upf
CELL_PARAMETERS angstrom
3.990 0.000 0.000
0.000 3.990 0.000
0.000 0.000 3.990
ATOMIC_POSITIONS crystal
Tl 0.000 0.000 0.000
V 0.000 0.500 0.500
V 0.500 0.000 0.500
V 0.500 0.500 0.000
H 0.500 0.500 0.500
! E_tot = -32.327 eV/cell



3.
! BaZrAs2, relaxed, DFT PBE; values from VASP
&SYSTEM
  ibrav = 0, nat = 16, ntyp = 3
/
ATOMIC_SPECIES
Ba 137.33 Ba.upf
Zr 91.22 Zr.upf
As 74.92 As.upf
CELL_PARAMETERS angstrom
7.344 0.000 0.000
0.000 7.344 0.000
0.000 0.000 7.344
ATOMIC_POSITIONS crystal
Ba 0.000 0.000 0.000
Ba 0.000 0.500 0.500
Ba 0.500 0.000 0.500
Ba 0.500 0.500 0.000
Zr 0.000 0.000 0.500
Zr 0.000 0.500 0.000
Zr 0.500 0.000 0.000
Zr 0.500 0.500 0.500
As 0.250 0.250 0.250
As 0.250 0.250 0.750
As 0.250 0.750 0.250
As 0.250 0.750 0.750
As 0.750 0.250 0.250
As 0.750 0.250 0.750
As 0.750 0.750 0.250
As 0.750 0.750 0.750
! E_tot = -86.485 eV/cell
! Formation energy = -463 meV/atom



4.
! CaPrTh2N4, relaxed, DFT PBE; values from VASP
&SYSTEM
  ibrav = 0, nat = 8, ntyp = 4
/
ATOMIC_SPECIES
Ca 40.08 Ca.upf
Pr 140.91 Pr.upf
Th 232.04 Th.upf
N 14.01 N.upf
CELL_PARAMETERS angstrom
6.286 0.000 0.000
0.000 3.677 0.000
-2.126 0.000 5.985
ATOMIC_POSITIONS crystal
Ca 0.000 0.000 0.000
Pr 0.000 0.500 0.500
Th 0.500 0.000 0.500
Th 0.500 0.500 0.000
N 0.268 0.000 0.756
N 0.275 0.500 0.261
N 0.725 0.500 0.739
N 0.732 0.000 0.244
! E_tot = -66.456 eV/cell
! ΔE_f (raw) = -1.442 eV per atom



5.
! TcF, relaxed, DFT PBE; values from VASP
&SYSTEM
  ibrav = 0, nat = 12, ntyp = 2
/
ATOMIC_SPECIES
Tc 98.00 Tc.upf
F 19.00 F.upf
CELL_PARAMETERS angstrom
2.801 0.000 0.000
0.000 10.362 0.000
0.000 0.000 7.359
ATOMIC_POSITIONS crystal
Tc 0.250 0.145 0.104
Tc 0.250 0.355 0.104
Tc 0.250 0.750 0.633
Tc 0.750 0.250 0.367
Tc 0.750 0.645 0.896
Tc 0.750 0.855 0.896
F 0.250 0.034 0.859
F 0.250 0.250 0.580
F 0.250 0.466 0.859
F 0.750 0.534 0.141
F 0.750 0.750 0.420
F 0.750 0.966 0.141
! E_tot = -83.146 eV/cell
! ΔE_f (raw) = -0.810 eV per atom



6.
! SrOs, relaxed, DFT PBE; values from VASP
&SYSTEM
  ibrav = 0, nat = 4, ntyp = 2
/
ATOMIC_SPECIES
Sr 87.62 Sr.upf
Os 190.23 Os.upf
CELL_PARAMETERS angstrom
5.273 0.000 0.000
-2.636 4.566 0.000
0.000 0.000 4.752
ATOMIC_POSITIONS crystal
Sr 0.333 0.667 0.250
Sr 0.667 0.333 0.750
Os 0.000 0.000 0.000
Os 0.000 0.000 0.500
! E_tot = -23.822 eV/cell
! Formation energy = 500 meV/atom